Record 1
# Cs2BeGeCl6

Crystalline Cs2BeGeCl6 at its relaxed geometry (PBE, Alexandria via LeMat-Bulk).

```
Cs2BeGeCl6
1.0
7.054 0.000 0.000
0.000 7.054 0.000
3.527 3.527 5.476
Cs Be Cl Ge
2 1 6 1
Cartesian
7.054 3.527 2.738 Cs
3.527 7.054 2.738 Cs
3.527 3.527 0.000 Be
5.091 5.091 0.000 Cl
1.963 1.963 0.000 Cl
3.527 3.527 2.876 Cl
7.054 7.054 2.600 Cl
1.963 5.091 0.000 Cl
5.091 1.963 0.000 Cl
0.000 0.000 0.000 Ge
```

VASP energy, eV/atom: -3.457
M_tot, μB per cell: 0.000

Record 2
# Y5Ge5Rh2

Crystalline Y5Ge5Rh2 at its relaxed geometry (PBE, Alexandria via LeMat-Bulk).

```
Y5Ge5Rh2
1.0
-1.599 -3.829 -0.761
5.781 -5.068 1.659
-3.794 -2.189 7.295
Ge Y Rh
5 5 2
Cartesian
-2.854 -6.906 5.664 Ge
-1.170 -4.614 2.285 Ge
1.557 -6.472 5.907 Ge
0.000 0.000 0.000 Ge
3.241 -4.180 2.528 Ge
3.581 -6.864 3.623 Y
0.993 -3.629 4.477 Y
-0.636 -8.161 7.322 Y
-3.194 -4.222 4.569 Y
1.024 -2.925 0.870 Y
-0.781 -5.506 5.958 Rh
1.168 -5.580 2.234 Rh
```

M_tot, μB per cell: 0.000
DFT formation energy, eV per atom: -0.838

Record 3
# SnSO2F

Crystalline SnSO2F at its relaxed geometry (PBE, Alexandria via LeMat-Bulk).

```
SnSO2F
1.0
-0.417 3.455 -1.343
1.246 -1.142 -3.325
-4.677 -1.098 -1.375
F O S Sn
1 2 1 1
Cartesian
-2.338 -0.549 -0.687 F
-0.208 1.728 -0.671 O
0.623 -0.571 -1.663 O
0.000 0.000 0.000 S
-1.924 0.608 -3.021 Sn
```

VASP energy, eV/atom: -4.503
M_tot, μB per cell: 0.000

Record 4
# ZrPdO2

Crystalline ZrPdO2 at its relaxed geometry (PBE, Alexandria via LeMat-Bulk).

```
ZrPdO2
1.0
4.811 0.000 0.000
0.000 4.811 0.000
2.406 2.406 5.462
O Pd Zr
4 2 2
Cartesian
6.014 5.688 4.096 O
3.608 3.934 4.096 O
1.529 3.608 1.365 O
3.282 1.203 1.365 O
4.811 2.406 2.731 Pd
0.000 0.000 0.000 Pd
2.406 2.406 0.000 Zr
2.406 4.811 2.731 Zr
```

VASP energy, eV/atom: -7.689
M_tot, μB per cell: 0.000

Record 5
# PmGa4CuPd2

Crystalline PmGa4CuPd2 at its relaxed geometry (PBE, Alexandria via LeMat-Bulk).

```
PmGa4CuPd2
1.0
4.296 0.000 0.000
2.148 3.721 0.000
2.148 1.240 8.746
Ga Pd Pm Cu
4 2 1 1
Cartesian
4.296 2.481 1.752 Ga
6.445 3.721 3.446 Ga
4.296 2.481 6.995 Ga
2.148 1.240 5.300 Ga
2.148 1.240 2.530 Pd
6.445 3.721 6.216 Pd
0.000 0.000 0.000 Pm
4.296 2.481 4.373 Cu
```

M_tot, μB per cell: 0.000
DFT formation energy, eV per atom: -0.538

Record 6
# Pm3ZrSn3

Crystalline Pm3ZrSn3 at its relaxed geometry (PBE, Alexandria via LeMat-Bulk).

```
Pm3ZrSn3
1.0
-5.599 -2.511 -2.549
4.121 0.993 -5.117
3.581 -8.851 1.475
Sn Pm Zr
6 6 2
Cartesian
-0.634 -3.472 -7.135 Sn
-0.375 -8.361 -4.018 Sn
3.505 -6.962 -5.043 Sn
2.478 -2.008 -2.173 Sn
-1.403 -3.407 -1.148 Sn
2.736 -6.897 0.944 Sn
-3.359 -1.703 -3.141 Pm
1.880 0.186 -4.525 Pm
1.892 -6.803 -2.123 Pm
0.210 -3.566 -4.068 Pm
-2.053 -6.303 -2.275 Pm
4.155 -4.065 -3.916 Pm
2.430 -9.593 -3.893 Zr
-0.328 -0.775 -2.299 Zr
```

M_tot, μB per cell: 0.000
DFT formation energy, eV per atom: -0.484

Record 7
# SrFe2Re

Crystalline SrFe2Re at its relaxed geometry (PBE, Alexandria via LeMat-Bulk).

```
SrFe2Re
1.0
-0.813 -4.647 -1.072
4.017 -1.255 2.386
-1.486 -0.283 2.353
Sr Fe Re
1 2 1
Cartesian
1.266 -0.769 2.369 Sr
0.000 0.000 0.000 Fe
1.602 -2.951 0.657 Fe
-1.149 -2.465 0.640 Re
```

M_tot, μB per cell: 4.186
DFT formation energy, eV per atom: 0.938

Record 8
# LaY2Er2

Crystalline LaY2Er2 at its relaxed geometry (PBE, Alexandria via LeMat-Bulk).

```
LaY2Er2
1.0
6.404 -0.867 0.000
-3.325 5.541 0.000
-1.539 -2.337 11.363
Y Er La
4 4 2
Cartesian
-1.667 4.449 0.000 Y
4.746 0.225 0.000 Y
-0.005 1.678 5.682 Y
-3.320 3.862 5.682 Y
2.370 0.952 2.841 Er
-1.601 0.217 8.522 Er
0.708 3.722 2.841 Er
1.601 -0.217 8.522 Er
1.539 2.337 0.000 La
3.202 -0.434 5.682 La
```

M_tot, μB per cell: 0.001
DFT formation energy, eV per atom: 0.525